1.
The following is a PBE calculation of a relaxed BaSrAcPr crystal, from the Alexandria database.

abc: 6.431 6.431 6.431
angles: 60.00 60.00 60.00
Element x y z (fractional)
Ba 0.000 0.000 0.000
Sr 0.750 0.750 0.750
Ac 0.250 0.250 0.250
Pr 0.500 0.500 0.500

* E_tot: -2.96 eV/atom
* space group: F-43m
* formation enthalpy at 0 K: 167 meV per atom
* magnetization: 0.00 μB per cell



2.
The following is a PBE calculation of a relaxed Ba4Ac3PrTe8 crystal, from the Alexandria database.

abc: 9.722 9.722 9.722
angles: 59.04 59.04 59.04
Element x y z (fractional)
Ba 0.000 0.000 0.000
Ba 0.000 0.500 0.500
Ba 0.500 0.000 0.500
Ba 0.500 0.500 0.000
Ac 0.000 0.000 0.500
Ac 0.000 0.500 0.000
Ac 0.500 0.000 0.000
Pr 0.500 0.500 0.500
Te 0.246 0.246 0.246
Te 0.250 0.741 0.741
Te 0.259 0.259 0.750
Te 0.259 0.750 0.259
Te 0.741 0.250 0.741
Te 0.741 0.741 0.250
Te 0.750 0.259 0.259
Te 0.754 0.754 0.754

* E_tot: -4.74 eV/atom
* formation energy from raw total energies: -1.62 eV/atom
* space group: R-3m
* magnetization: 0.00 μB per cell



3.
The following is a PBE calculation of a relaxed Ba3Ac2PrTe6 crystal, from the Alexandria database.

abc: 10.830 10.830 9.700
angles: 104.30 104.30 25.52
Element x y z (fractional)
Ba 0.000 0.000 0.000
Ba 0.333 0.333 0.666
Ba 0.667 0.667 0.334
Ac 0.336 0.336 0.172
Ac 0.664 0.664 0.828
Pr 0.000 0.000 0.500
Te 0.161 0.161 0.587
Te 0.171 0.171 0.075
Te 0.499 0.499 0.266
Te 0.501 0.501 0.734
Te 0.829 0.829 0.925
Te 0.839 0.839 0.413

* E_tot: -4.75 eV/atom
* formation energy from raw total energies: -1.62 eV/atom
* space group: C2/m
* magnetization: 0.00 μB per cell



4.
The following is a PBE calculation of a relaxed Ba3AcPr2Te6 crystal, from the Alexandria database.

abc: 8.199 8.199 8.410
angles: 99.37 99.37 119.93
Element x y z (fractional)
Ba 0.000 0.000 0.000
Ba 0.335 0.665 0.000
Ba 0.665 0.335 0.000
Ac 0.500 0.500 0.500
Pr 0.167 0.833 0.500
Pr 0.833 0.167 0.500
Te 0.083 0.423 0.269
Te 0.236 0.236 0.729
Te 0.423 0.083 0.269
Te 0.577 0.917 0.731
Te 0.764 0.764 0.271
Te 0.917 0.577 0.731

* E_tot: -4.79 eV/atom
* formation energy from raw total energies: -1.60 eV/atom
* space group: C2/m
* magnetization: 0.00 μB per cell



Question: Look up the magnetization of the second one.
Answer: 0.00 μB per cell



Question: Look up the E_tot of the first one.
Answer: -2.96 eV/atom